Here is a relaxed LaHo2TmSe4 crystal from Alexandria via LeMat-Bulk. Energies are from GGA-PBE.

CIF file:
```
data_LaHo2TmSe4
_cell_length_a 4.046
_cell_length_b 7.073
_cell_length_c 7.259
_cell_angle_alpha 71.37
_cell_angle_beta 90.00
_cell_angle_gamma 90.00
_space_group_name_H-M_alt 'P 1'
_space_group_IT_number 1
loop_
_space_group_symop_operation_xyz
'x,y,z'
loop_
_atom_site_label
_atom_site_type_symbol
_atom_site_fract_x
_atom_site_fract_y
_atom_site_fract_z
_atom_site_occupancy
Se1 Se 0.500 0.753 0.260 1
Se2 Se 0.000 0.238 0.266 1
Se3 Se 0.500 0.247 0.740 1
Se4 Se 0.000 0.762 0.734 1
Ho1 Ho 0.000 0.000 0.000 1
Ho2 Ho 0.500 0.000 0.500 1
La1 La 0.500 0.500 0.000 1
Tm1 Tm 0.000 0.500 0.500 1
```

Summary:
Its crystal system is monoclinic. As for the total energy: -46.6 eV per cell. The space-group type is P2/m (10).